[1]
# Pm3Ho8Sc4 | the Alexandria database | PBE | relaxed
# volume	30.76	Å³ per atom
# density	6.96	g/cm³
# ΔH_f (0 K)	0.388	eV/atom
# total magnetic moment	0.21	Bohr magnetons per cell
data_Pm3Ho8Sc4
_symmetry_space_group_name_H-M 'C 1 2/m 1'
_symmetry_Int_Tables_number 12
_symmetry_space_group_name_Hall '-C 2y'
_cell_length_a 13.060
_cell_length_b 11.891
_cell_length_c 6.602
_cell_angle_alpha 90.00
_cell_angle_beta 115.82
_cell_angle_gamma 90.00
loop_
_atom_site_label
_atom_site_fract_x
_atom_site_fract_y
_atom_site_fract_z
Pm1 0.000 0.000 0.000
Pm2 0.250 0.250 0.500
Ho1 0.000 0.207 0.500
Ho2 0.000 0.260 0.000
Ho3 0.202 0.000 0.663
Ho4 0.233 0.500 0.809
Sc1 0.000 0.500 0.000
Sc2 0.000 0.500 0.500
Sc3 0.250 0.250 0.000

[2]
# Tm4GeBiSe2 | the Alexandria database | PBE | relaxed
# uncorrected formation energy	-1272	meV per atom
# volume	25.53	Å³ per atom
# density	9.07	g/cm³
# total magnetic moment	0.00	Bohr magnetons per cell
data_Tm4GeBiSe2
_symmetry_space_group_name_H-M 'P 1 2/m 1'
_symmetry_Int_Tables_number 10
_symmetry_space_group_name_Hall '-P 2y'
_cell_length_a 7.156
_cell_length_b 4.160
_cell_length_c 7.278
_cell_angle_alpha 90.00
_cell_angle_beta 109.52
_cell_angle_gamma 90.00
loop_
_atom_site_label
_atom_site_fract_x
_atom_site_fract_y
_atom_site_fract_z
Tm1 0.242 0.000 0.232
Tm2 0.252 0.500 0.770
Ge1 0.000 0.500 0.000
Bi1 0.000 0.000 0.500
Se1 0.500 0.000 0.000
Se2 0.500 0.500 0.500

[3]
# KVIN2 | the Alexandria database | PBE | relaxed
# uncorrected formation energy	270	meV per atom
# volume	19.18	Å³ per atom
# density	4.24	g/cm³
# total magnetic moment	0.86	Bohr magnetons per cell
# ΔE to the lowest computed polymorph	0	meV per atom
data_KVIN2
_symmetry_space_group_name_H-M 'P 4/m m m'
_symmetry_Int_Tables_number 123
_symmetry_space_group_name_Hall '-P 4 2'
_cell_length_a 4.105
_cell_length_b 4.105
_cell_length_c 5.692
_cell_angle_alpha 90.00
_cell_angle_beta 90.00
_cell_angle_gamma 90.00
loop_
_atom_site_label
_atom_site_fract_x
_atom_site_fract_y
_atom_site_fract_z
K1 0.000 0.000 0.000
V1 0.500 0.500 0.500
I1 0.500 0.500 0.000
N1 0.000 0.500 0.500

[4]
# ZnGaPt2 | the Alexandria database | PBE | relaxed
# volume	16.91	Å³ per atom
# density	12.90	g/cm³
# ΔH_f (0 K)	-0.441	eV/atom
# total magnetic moment	0.00	Bohr magnetons per cell
data_ZnGaPt2
_symmetry_space_group_name_H-M 'R 3 m'
_symmetry_Int_Tables_number 160
_symmetry_space_group_name_Hall 'R 3 -2"'
_cell_length_a 3.9304
_cell_length_b 3.9304
_cell_length_c 15.1659
_cell_angle_alpha 90.00
_cell_angle_beta 90.00
_cell_angle_gamma 120.00
loop_
_atom_site_label
_atom_site_fract_x
_atom_site_fract_y
_atom_site_fract_z
Zn1 0.0000 0.0000 0.0000
Ga1 0.0000 0.0000 0.1759
Pt1 0.0000 0.0000 0.5795
Pt2 0.0000 0.0000 0.7638

[5]
# PrTl2Ag | the Alexandria database | PBE | relaxed
# volume	26.57	Å³ per atom
# density	10.27	g/cm³
# ΔH_f (0 K)	-0.223	eV/atom
# total magnetic moment	0.00	Bohr magnetons per cell
data_PrTl2Ag
_symmetry_space_group_name_H-M 'P 4/m m m'
_symmetry_Int_Tables_number 123
_symmetry_space_group_name_Hall '-P 4 2'
_cell_length_a 4.849
_cell_length_b 4.849
_cell_length_c 4.521
_cell_angle_alpha 90.00
_cell_angle_beta 90.00
_cell_angle_gamma 90.00
loop_
_atom_site_label
_atom_site_fract_x
_atom_site_fract_y
_atom_site_fract_z
Pr1 0.000 0.000 0.000
Tl1 0.000 0.500 0.500
Ag1 0.500 0.500 0.000

[6]
# Sc2P3 | the Alexandria database | PBE | relaxed
# volume	16.91	Å³ per atom
# density	3.59	g/cm³
# ΔH_f (0 K)	-0.913	eV/atom
# total magnetic moment	0.00	Bohr magnetons per cell
# ΔE to the lowest computed polymorph	0	meV per atom
data_Sc2P3
_symmetry_space_group_name_H-M 'F d d 2'
_symmetry_Int_Tables_number 43
_symmetry_space_group_name_Hall 'F 2 -2d'
_cell_length_a 8.185
_cell_length_b 13.223
_cell_length_c 6.251
_cell_angle_alpha 90.00
_cell_angle_beta 90.00
_cell_angle_gamma 90.00
loop_
_atom_site_label
_atom_site_fract_x
_atom_site_fract_y
_atom_site_fract_z
Sc1 0.050 0.202 0.000
P1 0.000 0.000 0.085
P2 0.092 0.121 0.593

[7]
# TaInB2Rh | the Alexandria database | PBE | relaxed
# volume	18.54	Å³ per atom
# density	7.53	g/cm³
# ΔH_f (0 K)	2.276	eV/atom
# total magnetic moment	0.00	Bohr magnetons per cell
data_TaInB2Rh
_symmetry_space_group_name_H-M 'P 4/m m m'
_symmetry_Int_Tables_number 123
_symmetry_space_group_name_Hall '-P 4 2'
_cell_length_a 4.126
_cell_length_b 4.126
_cell_length_c 5.443
_cell_angle_alpha 90.00
_cell_angle_beta 90.00
_cell_angle_gamma 90.00
loop_
_atom_site_label
_atom_site_fract_x
_atom_site_fract_y
_atom_site_fract_z
Ta1 0.000 0.000 0.000
In1 0.000 0.000 0.500
B1 0.000 0.500 0.500
Rh1 0.500 0.500 0.000

[8]
# Ho5TlTe5 | the Alexandria database | PBE | relaxed
# uncorrected formation energy	-1174	meV per atom
# volume	31.70	Å³ per atom
# density	7.94	g/cm³
# total magnetic moment	0.00	Bohr magnetons per cell
data_Ho5TlTe5
_symmetry_space_group_name_H-M 'C 1 2/m 1'
_symmetry_Int_Tables_number 12
_symmetry_space_group_name_Hall '-C 2y'
_cell_length_a 13.786
_cell_length_b 6.155
_cell_length_c 8.663
_cell_angle_alpha 90.00
_cell_angle_beta 108.43
_cell_angle_gamma 90.00
loop_
_atom_site_label
_atom_site_fract_x
_atom_site_fract_y
_atom_site_fract_z
Ho1 0.000 0.000 0.000
Ho2 0.162 0.500 0.832
Ho3 0.163 0.500 0.330
Tl1 0.000 0.500 0.000
Te1 0.000 0.500 0.500
Te2 0.166 0.000 0.831
Te3 0.170 0.000 0.336

[9]
# Lu2TlCr | the Alexandria database | PBE | relaxed
# volume	23.53	Å³ per atom
# density	10.70	g/cm³
# ΔH_f (0 K)	-0.005	eV/atom
# total magnetic moment	3.00	Bohr magnetons per cell
data_Lu2TlCr
_symmetry_space_group_name_H-M 'P 4/m m m'
_symmetry_Int_Tables_number 123
_symmetry_space_group_name_Hall '-P 4 2'
_cell_length_a 3.561
_cell_length_b 3.561
_cell_length_c 7.422
_cell_angle_alpha 90.00
_cell_angle_beta 90.00
_cell_angle_gamma 90.00
loop_
_atom_site_label
_atom_site_fract_x
_atom_site_fract_y
_atom_site_fract_z
Lu1 0.000 0.000 0.225
Tl1 0.500 0.500 0.500
Cr1 0.500 0.500 0.000

[10]
# Cr3CoSn | the Alexandria database | PBE | relaxed
# volume	16.42	Å³ per atom
# density	6.75	g/cm³
# ΔH_f (0 K)	0.895	eV/atom
# total magnetic moment	5.40	Bohr magnetons per cell
# ΔE to the lowest computed polymorph	0	meV per atom
data_Cr3CoSn
_symmetry_space_group_name_H-M 'P m -3 m'
_symmetry_Int_Tables_number 221
_symmetry_space_group_name_Hall '-P 4 2 3'
_cell_length_a 4.346
_cell_length_b 4.346
_cell_length_c 4.346
_cell_angle_alpha 90.00
_cell_angle_beta 90.00
_cell_angle_gamma 90.00
loop_
_atom_site_label
_atom_site_fract_x
_atom_site_fract_y
_atom_site_fract_z
Cr1 0.000 0.000 0.500
Co1 0.000 0.000 0.000
Sn1 0.500 0.500 0.500

[11]
# Pm3CO2 | the Alexandria database | PBE | relaxed
# uncorrected formation energy	-2019	meV per atom
# volume	16.66	Å³ per atom
# density	7.96	g/cm³
# total magnetic moment	0.00	Bohr magnetons per cell
data_Pm3CO2
_symmetry_space_group_name_H-M 'C 1 2/c 1'
_symmetry_Int_Tables_number 15
_symmetry_space_group_name_Hall '-C 2yc'
_cell_length_a 6.244
_cell_length_b 10.847
_cell_length_c 6.270
_cell_angle_alpha 90.00
_cell_angle_beta 109.67
_cell_angle_gamma 90.00
loop_
_atom_site_label
_atom_site_fract_x
_atom_site_fract_y
_atom_site_fract_z
Pm1 0.246 0.082 0.001
Pm2 0.250 0.250 0.500
C1 0.000 0.082 0.250
O1 0.000 0.245 0.750
O2 0.000 0.415 0.250

[12]
# NbTl3Se | the Alexandria database | PBE | relaxed
# uncorrected formation energy	712	meV per atom
# volume	34.51	Å³ per atom
# density	7.55	g/cm³
# total magnetic moment	3.09	Bohr magnetons per cell
# ΔE to the lowest computed polymorph	0	meV per atom
data_NbTl3Se
_symmetry_space_group_name_H-M 'P m -3 m'
_symmetry_Int_Tables_number 221
_symmetry_space_group_name_Hall '-P 4 2 3'
_cell_length_a 5.567
_cell_length_b 5.567
_cell_length_c 5.567
_cell_angle_alpha 90.00
_cell_angle_beta 90.00
_cell_angle_gamma 90.00
loop_
_atom_site_label
_atom_site_fract_x
_atom_site_fract_y
_atom_site_fract_z
Nb1 0.000 0.000 0.000
Tl1 0.000 0.000 0.500
Se1 0.500 0.500 0.500

[13]
# Ti2Al2Ni | the Alexandria database | PBE | relaxed
# volume	15.54	Å³ per atom
# density	4.45	g/cm³
# ΔH_f (0 K)	-0.345	eV/atom
# total magnetic moment	0.00	Bohr magnetons per cell
data_Ti2Al2Ni
_symmetry_space_group_name_H-M 'P 4/m b m'
_symmetry_Int_Tables_number 127
_symmetry_space_group_name_Hall '-P 4 2ab'
_cell_length_a 6.140
_cell_length_b 6.140
_cell_length_c 4.121
_cell_angle_alpha 90.00
_cell_angle_beta 90.00
_cell_angle_gamma 90.00
loop_
_atom_site_label
_atom_site_fract_x
_atom_site_fract_y
_atom_site_fract_z
Ti1 0.164 0.336 0.000
Al1 0.146 0.646 0.500
Ni1 0.000 0.000 0.500

[14]
# KMnNi | the Alexandria database | PBE | relaxed
# volume	23.97	Å³ per atom
# density	3.53	g/cm³
# ΔH_f (0 K)	0.611	eV/atom
# total magnetic moment	0.00	Bohr magnetons per cell
# ΔE to the lowest computed polymorph	249	meV per atom
data_KMnNi
_symmetry_space_group_name_H-M 'P 1'
_symmetry_Int_Tables_number 1
_symmetry_space_group_name_Hall 'P 1'
_cell_length_a 3.812
_cell_length_b 3.818
_cell_length_c 11.403
_cell_angle_alpha 90.04
_cell_angle_beta 90.73
_cell_angle_gamma 119.94
loop_
_atom_site_label
_atom_site_fract_x
_atom_site_fract_y
_atom_site_fract_z
K1 0.000 0.000 0.000
K2 0.302 0.652 0.376
Mn1 0.646 0.324 0.606
Mn2 0.981 0.991 0.624
Ni1 0.319 0.660 0.732
Ni2 0.656 0.328 0.801

[15]
# YIn2Ir | the Alexandria database | PBE | relaxed
# volume	22.35	Å³ per atom
# density	9.49	g/cm³
# ΔH_f (0 K)	-0.533	eV/atom
# total magnetic moment	0.00	Bohr magnetons per cell
data_YIn2Ir
_symmetry_space_group_name_H-M 'P n m a'
_symmetry_Int_Tables_number 62
_symmetry_space_group_name_Hall '-P 2ac 2n'
_cell_length_a 15.563
_cell_length_b 8.216
_cell_length_c 5.594
_cell_angle_alpha 90.00
_cell_angle_beta 90.00
_cell_angle_gamma 90.00
loop_
_atom_site_label
_atom_site_fract_x
_atom_site_fract_y
_atom_site_fract_z
Y1 0.103 0.250 0.242
Y2 0.139 0.750 0.460
In1 0.037 0.050 0.746
In2 0.215 0.547 0.976
Ir1 0.070 0.750 0.970
Ir2 0.183 0.250 0.755

[16]
# TbMg5Pb6 | the Alexandria database | PBE | relaxed
# volume	27.23	Å³ per atom
# density	7.74	g/cm³
# ΔH_f (0 K)	-0.106	eV/atom
# total magnetic moment	0.00	Bohr magnetons per cell
# ΔE to the lowest computed polymorph	17	meV per atom
data_TbMg5Pb6
_symmetry_space_group_name_H-M 'C 1 2/m 1'
_symmetry_Int_Tables_number 12
_symmetry_space_group_name_Hall '-C 2y'
_cell_length_a 9.812
_cell_length_b 10.519
_cell_length_c 6.458
_cell_angle_alpha 90.00
_cell_angle_beta 101.37
_cell_angle_gamma 90.00
loop_
_atom_site_label
_atom_site_fract_x
_atom_site_fract_y
_atom_site_fract_z
Tb1 0.000 0.000 0.000
Mg1 0.000 0.163 0.500
Mg2 0.000 0.336 0.000
Mg3 0.000 0.500 0.500
Pb1 0.243 0.330 0.743
Pb2 0.245 0.500 0.251

[17]
# Ac2Cu6Pt9 | the Alexandria database | PBE | relaxed
# volume	18.92	Å³ per atom
# density	13.37	g/cm³
# ΔH_f (0 K)	-0.448	eV/atom
# total magnetic moment	0.00	Bohr magnetons per cell
data_Ac2Cu6Pt9
_symmetry_space_group_name_H-M 'P 6/m m m'
_symmetry_Int_Tables_number 191
_symmetry_space_group_name_Hall '-P 6 2'
_cell_length_a 5.4856
_cell_length_b 5.4856
_cell_length_c 12.3439
_cell_angle_alpha 90.00
_cell_angle_beta 90.00
_cell_angle_gamma 120.00
loop_
_atom_site_label
_atom_site_fract_x
_atom_site_fract_y
_atom_site_fract_z
Ac1 0.0000 0.0000 0.1858
Cu1 0.3333 0.6667 0.1662
Cu2 0.3333 0.6667 0.5000
Pt1 0.0000 0.5000 0.0000
Pt2 0.0000 0.5000 0.3332

[18]
# Er3Cd8 | the Alexandria database | PBE | relaxed
# volume	23.65	Å³ per atom
# density	8.94	g/cm³
# ΔH_f (0 K)	-0.244	eV/atom
# total magnetic moment	0.00	Bohr magnetons per cell
data_Er3Cd8
_symmetry_space_group_name_H-M 'R -3 m'
_symmetry_Int_Tables_number 166
_symmetry_space_group_name_Hall '-R 3 2"'
_cell_length_a 4.9395
_cell_length_b 4.9395
_cell_length_c 36.9307
_cell_angle_alpha 90.00
_cell_angle_beta 90.00
_cell_angle_gamma 120.00
loop_
_atom_site_label
_atom_site_fract_x
_atom_site_fract_y
_atom_site_fract_z
Er1 0.0000 0.0000 0.0000
Er2 0.0000 0.0000 0.4527
Cd1 0.0000 0.0000 0.0836
Cd2 0.0000 0.0000 0.1635
Cd3 0.0000 0.0000 0.2774
Cd4 0.0000 0.0000 0.3658

[19]
# FeRhW2 | the Alexandria database | PBE | relaxed
# volume	14.24	Å³ per atom
# density	15.34	g/cm³
# ΔH_f (0 K)	0.023	eV/atom
# total magnetic moment	1.22	Bohr magnetons per cell
# ΔE to the lowest computed polymorph	40	meV per atom
data_FeRhW2
_symmetry_space_group_name_H-M 'I 4/m m m'
_symmetry_Int_Tables_number 139
_symmetry_space_group_name_Hall '-I 4 2'
_cell_length_a 3.849
_cell_length_b 3.849
_cell_length_c 7.690
_cell_angle_alpha 90.00
_cell_angle_beta 90.00
_cell_angle_gamma 90.00
loop_
_atom_site_label
_atom_site_fract_x
_atom_site_fract_y
_atom_site_fract_z
Fe1 0.000 0.000 0.000
Rh1 0.000 0.000 0.500
W1 0.000 0.500 0.250

[20]
# Sm2ErAl2Zn2 | the Alexandria database | PBE | relaxed
# volume	23.22	Å³ per atom
# density	6.67	g/cm³
# ΔH_f (0 K)	-0.314	eV/atom
# total magnetic moment	0.00	Bohr magnetons per cell
data_Sm2ErAl2Zn2
_symmetry_space_group_name_H-M 'R -3 m'
_symmetry_Int_Tables_number 166
_symmetry_space_group_name_Hall '-R 3 2"'
_cell_length_a 4.5080
_cell_length_b 4.5080
_cell_length_c 27.7109
_cell_angle_alpha 90.00
_cell_angle_beta 90.00
_cell_angle_gamma 120.00
loop_
_atom_site_label
_atom_site_fract_x
_atom_site_fract_y
_atom_site_fract_z
Sm1 0.0000 0.0000 0.1261
Er1 0.0000 0.0000 0.0000
Al1 0.0000 0.0000 0.2685
Zn1 0.0000 0.0000 0.3928